BaSrPb2N: relaxed, PBEsol.

Values from the calculation:
* size of the total moment: 0.4 μB per formula unit
* uncorrected formation energy: -38 meV/atom
* DOS at the Fermi energy: 3.317 states/eV per cell

Cell lengths 5.2656, 5.2656, 5.1999 Å; angles 90.00, 90.00, 90.00 degrees
Fractional coordinates of all 5 atoms:
Ba (0.0000, 0.0000, 0.0000)
Sr (0.5000, 0.5000, 0.0000)
Pb (0.0000, 0.5000, 0.5000)
Pb (0.5000, 0.0000, 0.5000)
N (0.0000, 0.0000, 0.5000)



Ho2CdHg: relaxed, PBEsol.

Values from the calculation:
* calculated formation energy: -454 meV per atom
* size of the total moment: 0.0 μB per formula unit
* DOS at the Fermi energy: 3.882 states/eV per cell

Cell lengths 5.1557, 5.1557, 5.1557 Å; angles 60.00, 60.00, 60.00 degrees
Fractional coordinates of all 4 atoms:
Ho (0.2500, 0.2500, 0.2500)
Ho (0.7500, 0.7500, 0.7500)
Cd (0.0000, 0.0000, 0.0000)
Hg (0.5000, 0.5000, 0.5000)



Mo2AsRh: relaxed, PBEsol.

Values from the calculation:
* calculated formation energy: -113 meV per atom
* size of the total moment: 0.0 μB per formula unit
* DOS at the Fermi energy: 1.978 states/eV per cell

Cell lengths 2.9274, 2.9274, 6.7327 Å; angles 90.00, 90.00, 90.00 degrees
Fractional coordinates of all 4 atoms:
Mo (0.0000, 0.0000, 0.2348)
Mo (0.0000, 0.0000, 0.7652)
As (0.5000, 0.5000, 0.0000)
Rh (0.5000, 0.5000, 0.5000)



CsIn3O5: relaxed, PBEsol.

Values from the calculation:
* size of the total moment: 0.0 μB per formula unit
* uncorrected formation energy: -1588 meV/atom

Cell lengths 10.0973, 3.3537, 16.5866 Å; angles 90.00, 90.00, 90.00 degrees
Fractional coordinates of all 36 atoms:
Cs (0.0332, 0.2500, 0.1231)
Cs (0.4668, 0.7500, 0.6231)
Cs (0.5332, 0.2500, 0.3769)
Cs (0.9668, 0.7500, 0.8769)
In (0.1070, 0.2500, 0.6630)
In (0.1459, 0.7500, 0.4890)
In (0.1844, 0.2500, 0.3195)
In (0.3156, 0.7500, 0.8195)
In (0.3541, 0.2500, 0.9890)
In (0.3930, 0.7500, 0.1630)
In (0.6070, 0.2500, 0.8370)
In (0.6459, 0.7500, 0.0110)
In (0.6844, 0.2500, 0.1805)
In (0.8156, 0.7500, 0.6805)
In (0.8541, 0.2500, 0.5110)
In (0.8930, 0.7500, 0.3370)
O (0.0236, 0.2500, 0.4237)
O (0.0698, 0.7500, 0.2718)
O (0.1919, 0.7500, 0.7172)
O (0.2224, 0.2500, 0.5558)
O (0.2271, 0.2500, 0.8876)
O (0.2729, 0.7500, 0.3876)
O (0.2776, 0.7500, 0.0558)
O (0.3081, 0.2500, 0.2172)
O (0.4302, 0.2500, 0.7718)
O (0.4764, 0.7500, 0.9237)
O (0.5236, 0.2500, 0.0763)
O (0.5698, 0.7500, 0.2282)
O (0.6919, 0.7500, 0.7828)
O (0.7224, 0.2500, 0.9442)
O (0.7271, 0.2500, 0.6123)
O (0.7729, 0.7500, 0.1124)
O (0.7776, 0.7500, 0.4442)
O (0.8081, 0.2500, 0.2828)
O (0.9302, 0.2500, 0.7282)
O (0.9764, 0.7500, 0.5763)



TlSi2Mo: relaxed, PBEsol.

Values from the calculation:
* size of the total moment: 0.0 μB per formula unit
* uncorrected formation energy: 599 meV/atom
* DOS at the Fermi energy: 4.805 states/eV per cell

Cell lengths 4.8746, 4.8746, 4.8746 Å; angles 130.48, 130.48, 72.63 degrees
Fractional coordinates of all 4 atoms:
Tl (0.0000, 0.0000, 0.0000)
Si (0.2500, 0.7500, 0.5000)
Si (0.7500, 0.2500, 0.5000)
Mo (0.5000, 0.5000, 0.0000)



CrP4O12: relaxed, PBEsol.

Values from the calculation:
* size of the total moment: 2.0 μB per formula unit
* uncorrected formation energy: -1993 meV/atom
* DOS at the Fermi energy: 15.174 states/eV per cell

Cell lengths 8.2073, 8.2073, 7.4617 Å; angles 102.60, 102.60, 110.79 degrees
Fractional coordinates of all 34 atoms:
Cr (0.1330, 0.8670, 0.7500)
Cr (0.8670, 0.1330, 0.2500)
P (0.0557, 0.2155, 0.6966)
P (0.2155, 0.0557, 0.1966)
P (0.2804, 0.6130, 0.9047)
P (0.3870, 0.7196, 0.5953)
P (0.6130, 0.2804, 0.4047)
P (0.7196, 0.3870, 0.0953)
P (0.7845, 0.9443, 0.8034)
P (0.9443, 0.7845, 0.3034)
O (0.0143, 0.2688, 0.5161)
O (0.0880, 0.1505, 0.1889)
O (0.1190, 0.6591, 0.8162)
O (0.1279, 0.8721, 0.2500)
O (0.1505, 0.0880, 0.6889)
O (0.1777, 0.3954, 0.8752)
O (0.2688, 0.0143, 0.0161)
O (0.2828, 0.5985, 0.3962)
O (0.3409, 0.8810, 0.6838)
O (0.3903, 0.6097, 0.7500)
O (0.3954, 0.1777, 0.3752)
O (0.4015, 0.7172, 0.1038)
O (0.5985, 0.2828, 0.8962)
O (0.6046, 0.8223, 0.6248)
O (0.6097, 0.3903, 0.2500)
O (0.6591, 0.1190, 0.3162)
O (0.7172, 0.4015, 0.6038)
O (0.7312, 0.9857, 0.9839)
O (0.8223, 0.6046, 0.1248)
O (0.8495, 0.9120, 0.3111)
O (0.8721, 0.1279, 0.7500)
O (0.8810, 0.3409, 0.1838)
O (0.9120, 0.8495, 0.8111)
O (0.9857, 0.7312, 0.4839)



BaZr2Co: relaxed, PBEsol.

Values from the calculation:
* calculated formation energy: 809 meV per atom
* size of the total moment: 3.0 μB per formula unit
* DOS at the Fermi energy: 5.290 states/eV per cell

Cell lengths 4.9918, 4.9918, 4.9918 Å; angles 60.00, 60.00, 60.00 degrees
Fractional coordinates of all 4 atoms:
Ba (0.0000, 0.0000, 0.0000)
Zr (0.5000, 0.5000, 0.5000)
Zr (0.7500, 0.7500, 0.7500)
Co (0.2500, 0.2500, 0.2500)



LiFePO4: relaxed, PBEsol.

Values from the calculation:
* size of the total moment: 4.0 μB per formula unit
* uncorrected formation energy: -1877 meV/atom
* DOS at the Fermi energy: 10.707 states/eV per cell

Cell lengths 7.1846, 5.3756, 6.2101 Å; angles 76.27, 46.62, 57.11 degrees
Fractional coordinates of all 14 atoms:
Li (0.0000, 0.0000, 0.0000)
Li (0.2500, 0.2500, 0.2500)
Fe (0.6231, 0.6231, 0.3769)
Fe (0.8731, 0.8731, 0.6269)
P (0.3054, 0.3054, 0.6946)
P (0.5554, 0.5554, 0.9446)
O (0.1076, 0.3046, 0.0363)
O (0.1929, 0.6362, 0.6442)
O (0.2137, 0.6986, 0.1424)
O (0.3046, 0.1076, 0.5514)
O (0.6058, 0.7233, 0.0571)
O (0.6362, 0.1929, 0.5267)
O (0.6986, 0.2137, 0.9454)
O (0.7233, 0.6058, 0.6138)